Entry 1:
Compound: Li2AcIrO6
Source: Alexandria
Functional: PBE
Structure: optimized geometry

Unit cell a=5.470 b=5.523 c=8.147 alpha=90.00 beta=92.37 gamma=90.00
Last column: magnetic moment on the atom in μB.
Positions (direct):
Li1 0.956 0.982 0.264  0.01
Li2 0.456 0.518 0.764  0.01
Li3 0.544 0.482 0.236  0.01
Li4 0.044 0.018 0.736  0.01
O1 0.125 0.374 0.791  0.07
O2 0.580 0.307 0.594  0.14
O3 0.318 0.610 0.065  0.12
O4 0.420 0.693 0.406  0.14
O5 0.080 0.193 0.094  0.14
O6 0.875 0.626 0.209  0.07
O7 0.182 0.110 0.435  0.12
O8 0.682 0.390 0.935  0.12
O9 0.920 0.807 0.906  0.14
O10 0.375 0.874 0.709  0.07
O11 0.818 0.890 0.565  0.12
O12 0.625 0.126 0.291  0.07
Ir1 0.500 0.000 0.500  0.92
Ir2 0.000 0.500 0.000  0.92
Ac1 0.500 0.000 0.000  0.04
Ac2 0.000 0.500 0.500  0.04

space group: No. 14
crystal system: monoclinic
E_tot: -6.330 eV per atom
formation energy from raw total energies: -1.675 eV per atom

=====

Entry 2:
Compound: NaBiSe2
Source: Alexandria
Functional: PBE
Structure: optimized geometry

Unit cell a=4.196 b=4.196 c=7.776 alpha=74.35 beta=74.35 gamma=60.00
Positions (direct):
Se1 0.256 0.256 0.232
Se2 0.079 0.079 0.764
Bi1 0.667 0.667 0.998
Na1 0.498 0.498 0.507

space group: No. 160
crystal system: trigonal
E_tot: -3.758 eV per atom
formation energy from raw total energies: -0.716 eV per atom

=====

Entry 3:
Compound: CuHg2MoN
Source: Alexandria
Functional: PBE
Structure: optimized geometry

Unit cell a=5.020 b=3.575 c=5.020 alpha=90.00 beta=90.00 gamma=90.00
Last column: magnetic moment on the atom in μB.
Positions (direct):
Hg1 0.500 0.000 0.000  0.01
Hg2 0.000 0.000 0.500  0.00
Cu1 0.000 0.500 0.000  0.13
Mo1 0.500 0.500 0.500  2.74
N1 0.000 0.000 0.000  0.28

space group: No. 123
crystal system: tetragonal
E_tot: -3.655 eV per atom
formation energy from raw total energies: 1.116 eV per atom

=====

Entry 4:
Compound: BiSeN2O
Source: Alexandria
Functional: PBE
Structure: optimized geometry

Unit cell a=3.985 b=3.985 c=3.940 alpha=90.00 beta=90.00 gamma=90.00
Positions (direct):
N1 0.000 0.500 0.000
N2 0.500 0.000 0.000
Bi1 0.500 0.500 0.500
Se1 0.000 0.000 0.000
O1 0.000 0.000 0.500

space group: No. 123
crystal system: tetragonal
E_tot: -4.961 eV per atom
formation energy from raw total energies: 0.834 eV per atom

=====

Entry 5:
Compound: AgBF5
Source: Alexandria
Functional: PBE
Structure: optimized geometry

Unit cell a=5.714 b=5.714 c=6.977 alpha=68.24 beta=68.24 gamma=73.56
Positions (direct):
Ag1 0.512 0.488 0.250
Ag2 0.488 0.512 0.750
F1 0.034 0.966 0.750
F2 0.166 0.167 0.899
F3 0.834 0.833 0.101
F4 0.681 0.318 0.989
F5 0.318 0.681 0.489
F6 0.966 0.034 0.250
F7 0.167 0.166 0.399
F8 0.682 0.319 0.511
F9 0.319 0.682 0.011
F10 0.833 0.834 0.601
B1 0.000 0.000 0.000
B2 0.000 0.000 0.500

space group: No. 15
crystal system: monoclinic
E_tot: -4.394 eV per atom
formation energy from raw total energies: -1.696 eV per atom

=====

Entry 6:
Compound: AgIrBr2
Source: Alexandria
Functional: PBE
Structure: optimized geometry

Unit cell a=5.668 b=5.668 c=7.891 alpha=68.95 beta=68.95 gamma=90.00
Positions (direct):
Ir1 0.000 0.000 0.000
Ir2 0.750 0.250 0.500
Br1 0.673 0.125 0.250
Br2 0.077 0.625 0.250
Br3 0.375 0.327 0.750
Br4 0.875 0.923 0.750
Ag1 0.250 0.750 0.500
Ag2 0.500 0.500 0.000

space group: No. 122
crystal system: tetragonal
E_tot: -3.186 eV per atom
formation energy from raw total energies: 0.578 eV per atom

=====

Entry 7:
Compound: KZn2Pb
Source: Alexandria
Functional: PBE
Structure: optimized geometry

Unit cell a=3.519 b=3.519 c=8.466 alpha=90.00 beta=90.00 gamma=90.00
Positions (direct):
Pb1 0.500 0.500 0.809
K1 0.000 0.000 0.469
Zn1 0.500 0.500 0.176
Zn2 0.000 0.000 0.046

space group: No. 99
energy relative to the elements: 0.26 eV per formula unit
crystal system: tetragonal
E_tot: -1.775 eV per atom

=====

Entry 8:
Compound: Li3Nd3Zn8
Source: Alexandria
Functional: PBE
Structure: optimized geometry

Unit cell a=4.583 b=8.530 c=8.530 alpha=60.57 beta=74.42 gamma=74.42
Positions (direct):
Nd1 0.500 0.500 0.500
Nd2 0.784 0.216 0.216
Nd3 0.216 0.784 0.784
Li1 0.000 0.190 0.810
Li2 0.500 0.000 0.000
Li3 0.000 0.810 0.190
Zn1 0.843 0.804 0.511
Zn2 0.157 0.196 0.489
Zn3 0.639 0.069 0.653
Zn4 0.361 0.931 0.347
Zn5 0.843 0.511 0.804
Zn6 0.157 0.489 0.196
Zn7 0.639 0.653 0.069
Zn8 0.361 0.347 0.931

space group: No. 71
energy relative to the elements: -3.90 eV per formula unit
crystal system: orthorhombic
E_tot: -2.438 eV per atom

=====

Entry 9:
Compound: PrAl4Sn
Source: Alexandria
Functional: PBE
Structure: optimized geometry

Unit cell a=5.656 b=5.656 c=5.656 alpha=60.00 beta=60.00 gamma=60.00
Positions (direct):
Pr1 0.250 0.250 0.250
Al1 0.625 0.124 0.625
Al2 0.625 0.625 0.124
Al3 0.625 0.625 0.625
Al4 0.124 0.625 0.625
Sn1 0.000 0.000 0.000

space group: No. 216
energy relative to the elements: -1.16 eV per formula unit
crystal system: cubic
E_tot: -4.152 eV per atom

=====

Entry 10:
Compound: Li2Cu
Source: Alexandria
Functional: PBE
Structure: optimized geometry

Unit cell a=4.943 b=5.043 c=5.043 alpha=76.10 beta=60.65 gamma=60.65
Positions (direct):
Cu1 0.250 0.000 0.000
Cu2 0.750 0.000 0.000
Li1 0.166 0.500 0.168
Li2 0.334 0.832 0.500
Li3 0.834 0.500 0.832
Li4 0.666 0.168 0.500

space group: No. 140
energy relative to the elements: -0.08 eV per formula unit
crystal system: tetragonal
E_tot: -2.667 eV per atom

=====

Entry 11:
Compound: K3Dy2TmS6
Source: Alexandria
Functional: PBE
Structure: optimized geometry

Unit cell a=6.987 b=6.987 c=7.725 alpha=98.67 beta=98.67 gamma=120.00
Positions (direct):
Dy1 0.667 0.333 0.000
Dy2 0.333 0.667 0.000
S1 0.933 0.603 0.799
S2 0.603 0.933 0.799
S3 0.397 0.067 0.201
S4 0.737 0.737 0.201
S5 0.263 0.263 0.799
S6 0.067 0.397 0.201
K1 0.500 0.500 0.500
K2 0.167 0.833 0.500
K3 0.833 0.167 0.500
Tm1 0.000 0.000 0.000

space group: No. 12
crystal system: monoclinic
E_tot: -5.367 eV per atom
formation energy from raw total energies: -1.889 eV per atom

=====

Entry 12:
Compound: MoIrRh2
Source: Alexandria
Functional: PBE
Structure: optimized geometry

Unit cell a=4.762 b=4.762 c=4.750 alpha=80.62 beta=80.62 gamma=33.42
Positions (direct):
Ir1 0.501 0.501 0.499
Rh1 0.998 0.998 0.001
Rh2 0.752 0.752 0.749
Mo1 0.249 0.249 0.251

space group: No. 8
energy relative to the elements: -0.49 eV per formula unit
crystal system: monoclinic
E_tot: -8.720 eV per atom

=====

Please write out number 4 again, unchanged.
Compound: BiSeN2O
Source: Alexandria
Functional: PBE
Structure: optimized geometry

Unit cell a=3.985 b=3.985 c=3.940 alpha=90.00 beta=90.00 gamma=90.00
Positions (direct):
N1 0.000 0.500 0.000
N2 0.500 0.000 0.000
Bi1 0.500 0.500 0.500
Se1 0.000 0.000 0.000
O1 0.000 0.000 0.500

space group: No. 123
crystal system: tetragonal
E_tot: -4.961 eV per atom
formation energy from raw total energies: 0.834 eV per atom

=====

What is the E_tot in the first record?
-6.330 eV per atom

=====

Repeat the seventh record exactly.
Compound: KZn2Pb
Source: Alexandria
Functional: PBE
Structure: optimized geometry

Unit cell a=3.519 b=3.519 c=8.466 alpha=90.00 beta=90.00 gamma=90.00
Positions (direct):
Pb1 0.500 0.500 0.809
K1 0.000 0.000 0.469
Zn1 0.500 0.500 0.176
Zn2 0.000 0.000 0.046

space group: No. 99
energy relative to the elements: 0.26 eV per formula unit
crystal system: tetragonal
E_tot: -1.775 eV per atom

=====

What is the formula in the fourth record?
BiSeN2O